i:
A plane-wave DFT calculation with PBE was carried out for a relaxed structure of MgNb2Co2.

POSCAR file:
```
MgNb2Co2
1.0
7.1068 0.0000 0.0000
0.0000 7.1068 0.0000
0.0000 0.0000 3.0226
Mg Nb Co
2 4 4
Direct
0.0000 0.0000 0.0000
0.5000 0.5000 0.0000
0.1677 0.3323 0.5000
0.3323 0.8323 0.5000
0.6677 0.1677 0.5000
0.8323 0.6677 0.5000
0.1281 0.6281 0.0000
0.3719 0.1281 0.0000
0.6281 0.8719 0.0000
0.8719 0.3719 0.0000
```

***

ii:
A plane-wave DFT calculation with PBE was carried out for a relaxed structure of MgNb2Co2.

POSCAR file:
```
MgNb2Co2
1.0
7.5559 0.0000 0.0000
0.0000 7.5559 0.0000
0.0000 0.0000 2.7489
Mg Nb Co
2 4 4
Direct
0.0000 0.0000 0.0000
0.5000 0.5000 0.0000
0.1489 0.3511 0.0000
0.3511 0.8511 0.0000
0.6489 0.1489 0.0000
0.8511 0.6489 0.0000
0.1429 0.6429 0.5000
0.3571 0.1429 0.5000
0.6429 0.8571 0.5000
0.8571 0.3571 0.5000
```

***

So which one is most stable? That would be i, about 192 meV per atom below the next structure.

***

i:
A plane-wave DFT calculation with PBE was carried out for a relaxed structure of Mg14NbCo.

POSCAR file:
```
Mg14NbCo
1.0
9.9916 0.0000 0.0000
0.0000 3.0730 5.4536
0.0000 -3.0730 5.4536
Mg Nb Co
14 1 1
Direct
0.0000 0.0000 0.0000
0.0000 0.0025 0.4980
0.0000 0.4980 0.0025
0.0000 0.4986 0.4986
0.2522 0.6611 0.6611
0.2666 0.1686 0.6700
0.2666 0.6700 0.1686
0.2729 0.1550 0.1550
0.5000 0.5150 0.9988
0.5000 0.9988 0.5150
0.7271 0.1550 0.1550
0.7334 0.1686 0.6700
0.7334 0.6700 0.1686
0.7478 0.6611 0.6611
0.5000 0.5089 0.5089
0.5000 0.0002 0.0002
```

***

ii:
A plane-wave DFT calculation with PBE was carried out for a relaxed structure of Mg14NbCo.

POSCAR file:
```
Mg14NbCo
1.0
6.2547 0.0000 0.0000
-3.1274 5.4167 0.0000
0.0000 0.0000 9.8423
Mg Nb Co
14 1 1
Direct
0.0000 0.0000 0.2420
0.0000 0.0000 0.7580
0.0188 0.5094 0.2572
0.0188 0.5094 0.7428
0.3304 0.1652 0.5000
0.3410 0.1705 0.0000
0.4906 0.5094 0.2572
0.4906 0.5094 0.7428
0.4906 0.9812 0.2572
0.4906 0.9812 0.7428
0.8295 0.1705 0.0000
0.8295 0.6590 0.0000
0.8348 0.1652 0.5000
0.8348 0.6696 0.5000
0.3333 0.6667 0.0000
0.3333 0.6667 0.5000
```

***

So which one is most stable? That would be i, about 7 meV per atom below the next structure.